DFT (PBE with a Hubbard U) results for a relaxed Ba3Fe2RhO9 crystal.

The structure in POSCAR format:
```
Ba3Fe2RhO9
1.0
-3.1264 3.0354 -3.7520
2.3037 -5.0263 -1.5795
-5.8372 -3.3517 2.1523
O Fe Rh Ba
9 2 1 3
Cartesian
-6.1037 -0.5088 -1.9691
1.1518 -2.5131 -0.7898
-0.5561 -4.8338 -1.2101
-1.5632 1.5177 -1.8760
-4.5165 -2.0499 -0.0642
-4.9341 -3.0606 -2.7711
-1.7257 -2.2820 -0.4082
-2.1434 -3.2927 -3.1150
-0.4113 -0.9954 -2.6657
-0.4092 -2.8575 -1.9708
-6.2507 -2.4851 -1.2084
-2.9186 -1.6759 1.0761
-3.4067 -4.5787 -0.8655
0.0000 0.0000 0.0000
-3.2531 -0.7639 -2.3137
```

Results
total magnetic moment	12.38	μB per cell
uncorrected energy	-95.74	eV/f.u.
DOS(E_F)	0.454	states/eV/atom